Compound: LaAgSe
Source: the Alexandria database
Functional: PBE
Structure: optimized geometry

Values from the calculation:
Raw formation energy, eV/atom: -0.88
SG: F-43m
Crystal system: cubic

Unit cell a=7.1604 b=7.1604 c=7.1604 alpha=90.00 beta=90.00 gamma=90.00
Closest atoms and distances in Å follow each position.
Fractional positions:
La 0.0000 0.0000 0.0000  4 Se 3.10, 4 Ag 3.10
La 0.0000 0.5000 0.5000  4 Se 3.10, 4 Ag 3.10
La 0.5000 0.0000 0.5000  4 Se 3.10, 4 Ag 3.10
La 0.5000 0.5000 0.0000  4 Se 3.10, 4 Ag 3.10
Ag 0.2500 0.2500 0.7500  4 La 3.10
Ag 0.2500 0.7500 0.2500  4 La 3.10
Ag 0.7500 0.2500 0.2500  4 La 3.10
Ag 0.7500 0.7500 0.7500  4 La 3.10
Se 0.2500 0.2500 0.2500  4 La 3.10
Se 0.2500 0.7500 0.7500  4 La 3.10
Se 0.7500 0.2500 0.7500  4 La 3.10
Se 0.7500 0.7500 0.2500  4 La 3.10



Compound: Y2TaW
Source: the Alexandria database
Functional: PBE
Structure: optimized geometry

Values from the calculation:
DFT formation energy, eV/f.u.: 2.0
SG: Cm
Crystal system: monoclinic

Unit cell a=8.8086 b=3.2430 c=6.9051 alpha=90.00 beta=95.37 gamma=90.00
Closest atoms and distances in Å follow each position.
Fractional positions:
Y 0.0000 0.0000 0.0000  3 W 2.95-3.07, 2 Ta 3.20, 3 Y 3.24-3.27
Y 0.2256 0.0000 0.6498  3 Ta 2.93-3.15, 2 W 3.24, 3 Y 3.24-3.27
Y 0.5000 0.5000 0.0000  3 W 2.95-3.07, 2 Ta 3.20, 3 Y 3.24-3.27
Y 0.7256 0.5000 0.6498  3 Ta 2.93-3.15, 2 W 3.24, 3 Y 3.24-3.27
Ta 0.4734 0.0000 0.3957  3 W 2.68-2.72, 1 Y 2.93
Ta 0.9734 0.5000 0.3957  3 W 2.68-2.72, 1 Y 2.93
W 0.2435 0.5000 0.2462  3 Ta 2.68-2.72, 1 Y 2.95
W 0.7435 0.0000 0.2462  3 Ta 2.68-2.72, 1 Y 2.95



Compound: PmSmAl
Source: the Alexandria database
Functional: PBE
Structure: optimized geometry

Values from the calculation:
DFT formation energy, eV/f.u.: -0.3
SG: P4/nmm
Crystal system: tetragonal

Unit cell a=4.8153 b=4.8153 c=7.6909 alpha=90.00 beta=90.00 gamma=90.00
Closest atoms and distances in Å follow each position.
Fractional positions:
Pm 0.2500 0.2500 0.2313  4 Al 3.17, 4 Sm 3.41
Pm 0.7500 0.7500 0.7687  4 Al 3.17, 4 Sm 3.41
Sm 0.2500 0.2500 0.7590  4 Al 3.12, 4 Pm 3.41
Sm 0.7500 0.7500 0.2410  4 Al 3.12, 4 Pm 3.41
Al 0.2500 0.7500 0.5000  4 Sm 3.12, 4 Pm 3.17, 4 Al 3.40
Al 0.7500 0.2500 0.5000  4 Sm 3.12, 4 Pm 3.17, 4 Al 3.40



What did we get for energy? Answer: -13.9 -35.7 -13.5 eV per formula unit, in the order shown.
What did we get for total moment? Answer: 0.00 0.00 0.00 μB/cell, in the order shown.